[1]
Here is a geometry-optimized Si2RuPb structure from Alexandria via LeMat-Bulk. Energies are from PBE-GGA.

Summary:
The calculation puts the density of states at the Fermi level at 0.4578 states/eV per atom. For the energy relative to the elements, uncorrected, the calculation gives 0.6 eV per formula unit.

Cell lengths 3.693, 3.506, 6.243 Å; angles 90.00, 107.00, 90.00 degrees
Fractional coordinates of all 4 atoms:
Si: 0.000 0.000 0.000
Si: 0.491 0.500 0.980
Ru: 0.624 0.000 0.253
Pb: 0.253 0.500 0.515

---

[2]
Here is a geometry-optimized ScCd2CuS structure from Alexandria via LeMat-Bulk. Energies are from PBE-GGA.

Summary:
The calculation puts the density of states at the Fermi level at 0.5514 states/eV per atom. For the energy relative to the elements, uncorrected, the calculation gives 0.5 eV per formula unit.

Cell lengths 4.846, 4.846, 4.989 Å; angles 90.00, 90.00, 90.00 degrees
Fractional coordinates of all 5 atoms:
Sc: 0.000 0.000 0.000
Cd: 0.000 0.500 0.500
Cd: 0.500 0.000 0.500
Cu: 0.000 0.000 0.500
S: 0.500 0.500 0.000

---

[3]
Here is a geometry-optimized Y3Ag structure from Alexandria via LeMat-Bulk. Energies are from PBE-GGA.

Summary:
For the energy of formation, the calculation gives -55 meV per atom. The calculation puts the density of states at the Fermi level at 1.2836 states/eV per atom. The offset from the most stable computed form is 80 meV per atom.

Cell lengths 3.706, 3.706, 10.048 Å; angles 90.00, 90.00, 120.00 degrees
Fractional coordinates of all 4 atoms:
Y: 0.000 0.000 0.000
Y: 0.333 0.667 0.283
Y: 0.333 0.667 0.717
Ag: 0.000 0.000 0.500

---

[4]
Here is a geometry-optimized LiNd2CuIr2 structure from Alexandria via LeMat-Bulk. Energies are from PBE-GGA.

Summary:
For the energy of formation, the calculation gives -429 meV per atom. The calculation puts the density of states at the Fermi level at 0.3741 states/eV per atom.

Cell lengths 8.264, 8.264, 8.264 Å; angles 139.13, 59.16, 139.15 degrees
Fractional coordinates of all 12 atoms:
Li: 0.250 0.250 0.000
Li: 0.750 0.750 0.000
Nd: 0.168 0.250 0.418
Nd: 0.332 0.750 0.082
Nd: 0.668 0.250 0.918
Nd: 0.832 0.750 0.582
Cu: 0.250 0.750 0.500
Cu: 0.750 0.250 0.500
Ir: 0.120 0.747 0.867
Ir: 0.380 0.247 0.627
Ir: 0.620 0.753 0.373
Ir: 0.880 0.253 0.133

---

[5]
Here is a geometry-optimized SmPuOsAu structure from Alexandria via LeMat-Bulk. Energies are from PBE-GGA.

Summary:
For the energy of formation, the calculation gives -194 meV per atom. The calculation puts the density of states at the Fermi level at 2.5176 states/eV per atom.

Cell lengths 5.001, 5.001, 5.001 Å; angles 60.00, 60.00, 60.00 degrees
Fractional coordinates of all 4 atoms:
Sm: 0.000 0.000 0.000
Pu: 0.500 0.500 0.500
Os: 0.750 0.750 0.750
Au: 0.250 0.250 0.250

---

[6]
Here is a geometry-optimized Mn2Ag14Se9 structure from Alexandria via LeMat-Bulk. Energies are from PBE-GGA.

Summary:
The calculation puts the density of states at the Fermi level at 0.0510 states/eV per atom. For the energy relative to the elements, uncorrected, the calculation gives -2.4 eV per formula unit.

Cell lengths 7.770, 7.770, 10.977 Å; angles 90.00, 90.00, 120.00 degrees
Fractional coordinates of all 25 atoms:
Mn: 0.333 0.667 0.264
Mn: 0.667 0.333 0.736
Ag: 0.000 0.000 0.252
Ag: 0.000 0.000 0.748
Ag: 0.008 0.695 0.416
Ag: 0.034 0.681 0.919
Ag: 0.305 0.313 0.416
Ag: 0.313 0.008 0.584
Ag: 0.319 0.353 0.919
Ag: 0.353 0.034 0.081
Ag: 0.647 0.966 0.919
Ag: 0.681 0.647 0.081
Ag: 0.687 0.992 0.416
Ag: 0.695 0.687 0.584
Ag: 0.966 0.319 0.081
Ag: 0.992 0.305 0.584
Se: 0.000 0.000 0.000
Se: 0.002 0.355 0.328
Se: 0.333 0.667 0.032
Se: 0.353 0.998 0.328
Se: 0.355 0.353 0.672
Se: 0.645 0.647 0.328
Se: 0.647 0.002 0.672
Se: 0.667 0.333 0.968
Se: 0.998 0.645 0.672

---

[7]
Here is a geometry-optimized LaTbI2 structure from Alexandria via LeMat-Bulk. Energies are from PBE-GGA.

Summary:
The calculation puts the density of states at the Fermi level at 0.9987 states/eV per atom. The offset from the most stable computed form is 140 meV per atom. For the energy relative to the elements, uncorrected, the calculation gives -2.9 eV per formula unit.

Cell lengths 11.210, 11.210, 11.210 Å; angles 19.94, 19.94, 19.94 degrees
Fractional coordinates of all 4 atoms:
La: 0.000 0.000 0.000
Tb: 0.500 0.500 0.500
I: 0.100 0.100 0.100
I: 0.900 0.900 0.900

---

[8]
Here is a geometry-optimized KAlI3 structure from Alexandria via LeMat-Bulk. Energies are from PBE-GGA.

Summary:
The calculation puts the density of states at the Fermi level at 0.2318 states/eV per atom. The offset from the most stable computed form is 0 meV per atom. For the energy relative to the elements, uncorrected, the calculation gives -3.9 eV per formula unit.

Cell lengths 5.812, 5.812, 5.812 Å; angles 90.00, 90.00, 90.00 degrees
Fractional coordinates of all 5 atoms:
K: 0.000 0.000 0.000
Al: 0.500 0.500 0.500
I: 0.000 0.500 0.500
I: 0.500 0.000 0.500
I: 0.500 0.500 0.000

---

[9]
Here is a geometry-optimized In2SnMo2 structure from Alexandria via LeMat-Bulk. Energies are from PBE-GGA.

Summary:
For the energy of formation, the calculation gives 264 meV per atom. The calculation puts the density of states at the Fermi level at 0.3749 states/eV per atom.

Cell lengths 6.891, 6.891, 4.387 Å; angles 90.00, 90.00, 90.00 degrees
Fractional coordinates of all 10 atoms:
In: 0.166 0.334 0.000
In: 0.334 0.834 0.000
In: 0.666 0.166 0.000
In: 0.834 0.666 0.000
Sn: 0.000 0.000 0.500
Sn: 0.500 0.500 0.500
Mo: 0.126 0.626 0.500
Mo: 0.374 0.126 0.500
Mo: 0.626 0.874 0.500
Mo: 0.874 0.374 0.500

---

[10]
Here is a geometry-optimized LaMn structure from Alexandria via LeMat-Bulk. Energies are from PBE-GGA.

Summary:
For the energy of formation, the calculation gives 295 meV per atom. The calculation puts the density of states at the Fermi level at 1.3645 states/eV per atom.

Cell lengths 5.062, 5.062, 4.345 Å; angles 90.00, 90.00, 120.00 degrees
Fractional coordinates of all 4 atoms:
La: 0.333 0.667 0.250
La: 0.667 0.333 0.750
Mn: 0.000 0.000 0.000
Mn: 0.000 0.000 0.500

---

[11]
Here is a geometry-optimized ScAl12Cr5 structure from Alexandria via LeMat-Bulk. Energies are from PBE-GGA.

Summary:
For the energy of formation, the calculation gives -65 meV per atom. The calculation puts the density of states at the Fermi level at 0.4221 states/eV per atom.

Cell lengths 7.199, 7.199, 7.199 Å; angles 116.47, 109.37, 102.86 degrees
Fractional coordinates of all 18 atoms:
Sc: 0.000 0.000 0.000
Al: 0.111 0.823 0.288
Al: 0.225 0.313 0.538
Al: 0.225 0.687 0.913
Al: 0.255 0.058 0.803
Al: 0.255 0.452 0.197
Al: 0.466 0.177 0.288
Al: 0.534 0.823 0.712
Al: 0.745 0.548 0.803
Al: 0.745 0.942 0.197
Al: 0.775 0.313 0.087
Al: 0.775 0.687 0.462
Al: 0.889 0.177 0.712
Cr: 0.123 0.623 0.500
Cr: 0.500 0.153 0.653
Cr: 0.500 0.500 0.000
Cr: 0.500 0.847 0.347
Cr: 0.877 0.377 0.500

---

[12]
Here is a geometry-optimized CdIn2GeH structure from Alexandria via LeMat-Bulk. Energies are from PBE-GGA.

Summary:
The calculation puts the final energy at -2.68 eV/atom. The calculation puts the density of states at the Fermi level at 0.3491 states/eV per atom.

Cell lengths 5.576, 5.576, 3.472 Å; angles 90.00, 90.00, 90.00 degrees
Fractional coordinates of all 5 atoms:
Cd: 0.000 0.000 0.000
In: 0.000 0.500 0.500
In: 0.500 0.000 0.500
Ge: 0.500 0.500 0.500
H: 0.500 0.500 0.000